Computed, not measured: a geometry-optimized CuRh3 structure at the PBEsol level of DFT.

formation energy from the elements	0.05	eV per atom

a b c (Å): 2.676 2.676 7.282
angles (deg): 90.00 90.00 90.00
Atoms (fractional coordinates):
1 Rh 0.000 0.000 0.500
2 Rh 0.500 0.500 0.247
3 Rh 0.500 0.500 0.753
4 Cu 0.000 0.000 0.000

---

Computed, not measured: a geometry-optimized Ba3CoH structure at the PBEsol level of DFT.

calculated total energy	-2.99	eV per atom

a b c (Å): 5.678 5.678 5.678
angles (deg): 90.00 90.00 90.00
Atoms (fractional coordinates):
1 H 0.500 0.500 0.500
2 Co 0.000 0.000 0.000
3 Ba 0.000 0.500 0.000
4 Ba 0.000 0.000 0.500
5 Ba 0.500 0.000 0.000

---

Computed, not measured: a geometry-optimized BaLaCl structure at the PBEsol level of DFT.

formation energy (no corrections)	-0.32	kcal/mol of atoms
energy relative to the lowest polymorph listed for this composition	20.222	kcal/mol of atoms

a b c (Å): 5.137 5.137 5.137
angles (deg): 60.00 60.00 60.00
Atoms (fractional coordinates):
1 Cl 0.500 0.500 0.500
2 Ba 0.000 0.000 0.000
3 La 0.250 0.250 0.250

---

Computed, not measured: a geometry-optimized TiMoN2 structure at the PBEsol level of DFT.

formation energy (no corrections)	-20.34	kcal/mol of atoms

a b c (Å): 4.566 4.566 5.617
angles (deg): 113.98 113.98 90.00
Atoms (fractional coordinates):
1 Mo 0.250 0.750 0.500
2 Mo 0.000 0.000 0.000
3 N 0.376 0.875 0.250
4 N 0.874 0.375 0.250
5 N 0.125 0.126 0.750
6 N 0.625 0.624 0.750
7 Ti 0.750 0.250 0.500
8 Ti 0.500 0.500 0.000

---

Computed, not measured: a geometry-optimized TiNb3S structure at the PBEsol level of DFT.

formation energy (no corrections)	1.44	kcal/mol of atoms

a b c (Å): 4.540 4.540 4.540
angles (deg): 90.00 90.00 90.00
Atoms (fractional coordinates):
1 Nb 0.000 0.500 0.000
2 Nb 0.000 0.000 0.500
3 Nb 0.500 0.000 0.000
4 S 0.000 0.000 0.000
5 Ti 0.500 0.500 0.500

---

Computed, not measured: a geometry-optimized CaLa2Au structure at the PBEsol level of DFT.

formation energy from the elements	-0.31	eV per atom
energy relative to the lowest polymorph listed for this composition	0.979	kcal/mol of atoms

a b c (Å): 3.815 3.815 8.851
angles (deg): 90.00 90.00 90.00
Atoms (fractional coordinates):
1 Ca 0.500 0.500 0.000
2 Au 0.500 0.500 0.500
3 La 0.000 0.000 0.314
4 La 0.000 0.000 0.686

---

Computed, not measured: a geometry-optimized CdInRe structure at the PBEsol level of DFT.

formation energy from the elements	0.59	eV per atom
energy relative to the lowest polymorph listed for this composition	0.000	kcal/mol of atoms

a b c (Å): 2.943 2.943 7.297
angles (deg): 90.00 90.00 120.00
Atoms (fractional coordinates):
1 Re 0.667 0.333 0.334
2 Cd 0.000 0.000 0.016
3 In 0.333 0.667 0.650

---

Computed, not measured: a geometry-optimized Mg4Sc3 structure at the PBEsol level of DFT.

formation energy from the elements	0.13	eV per atom
energy relative to the lowest polymorph listed for this composition	3.895	kcal/mol of atoms

a b c (Å): 5.667 5.865 5.865
angles (deg): 120.00 90.00 90.00
Atoms (fractional coordinates):
1 Mg 0.751 0.000 0.000
2 Mg 0.249 0.000 0.000
3 Mg 0.500 0.333 0.667
4 Mg 0.500 0.667 0.333
5 Sc 0.000 0.000 0.500
6 Sc 0.000 0.500 0.000
7 Sc 0.000 0.500 0.500

---

Computed, not measured: a geometry-optimized ScFeBr structure at the PBEsol level of DFT.

formation energy (no corrections)	-1.03	kcal/mol of atoms

a b c (Å): 3.210 3.210 5.629
angles (deg): 106.57 106.57 90.00
Atoms (fractional coordinates):
1 Br 0.013 0.013 0.027
2 Fe 0.670 0.670 0.341
3 Sc 0.316 0.316 0.632

---

Computed, not measured: a geometry-optimized PmI3 structure at the PBEsol level of DFT.

formation energy (no corrections)	-30.88	kcal/mol of atoms

a b c (Å): 4.032 10.696 10.696
angles (deg): 120.00 90.00 90.00
Atoms (fractional coordinates):
1 I 0.250 0.585 0.793
2 I 0.250 0.207 0.415
3 I 0.250 0.207 0.793
4 I 0.750 0.415 0.207
5 I 0.750 0.793 0.585
6 I 0.750 0.793 0.207
7 Pm 0.750 0.333 0.667
8 Pm 0.250 0.667 0.333

---

Computed, not measured: a geometry-optimized Sr2SeCl structure at the PBEsol level of DFT.

formation energy (no corrections)	-38.06	kcal/mol of atoms
energy relative to the lowest polymorph listed for this composition	3.396	kcal/mol of atoms

a b c (Å): 3.769 5.199 5.209
angles (deg): 90.00 90.00 90.00
Atoms (fractional coordinates):
1 Sr 0.000 0.000 0.000
2 Sr 0.000 0.500 0.500
3 Se 0.500 0.000 0.500
4 Cl 0.500 0.500 0.000

---

Computed, not measured: a geometry-optimized TaRu2 structure at the PBEsol level of DFT.

formation energy from the elements	-0.02	eV per atom

a b c (Å): 2.798 3.764 4.822
angles (deg): 112.97 106.86 90.00
Atoms (fractional coordinates):
1 Ru 0.674 0.674 0.349
2 Ru 0.326 0.326 0.651
3 Ta 0.000 0.000 0.000